(1)
This record from the Alexandria database describes an optimized crystal structure of KCd3Cu4Cl12. The functional is GGA-PBE.

abc: 8.627 8.627 8.627
angles: 105.90 105.90 105.90
Site moments in Bohr magnetons follow the coordinates.
Positions (direct):
K 0.000 0.000 0.000  0.00
Cd 0.565 0.435 0.000  0.00
Cd 0.435 0.000 0.565  0.00
Cd 0.000 0.565 0.435  0.00
Cu 0.920 0.080 0.500  0.21
Cu 0.080 0.500 0.920  0.21
Cu 0.500 0.920 0.080  0.21
Cu 0.500 0.500 0.500  0.16
Cl 0.500 0.339 0.661  0.02
Cl 0.912 0.500 0.088  0.03
Cl 0.088 0.912 0.500  0.03
Cl 0.500 0.088 0.912  0.03
Cl 0.350 0.978 0.240  0.02
Cl 0.240 0.350 0.978  0.02
Cl 0.978 0.240 0.350  0.02
Cl 0.650 0.760 0.022  0.02
Cl 0.022 0.650 0.760  0.02
Cl 0.760 0.022 0.650  0.02
Cl 0.661 0.500 0.339  0.02
Cl 0.339 0.661 0.500  0.02

Results
DOS at the Fermi energy: 9.61 states/eV/cell
raw formation energy: -0.873 eV per atom
space-group type: R32


(2)
This record from the Alexandria database describes an optimized crystal structure of KCd2CuCl6. The functional is GGA-PBE.

abc: 7.642 9.519 9.519
angles: 88.70 74.67 74.67
Site moments in Bohr magnetons follow the coordinates.
Positions (direct):
K 0.250 0.885 0.115  0.00
K 0.750 0.115 0.885  0.00
Cd 0.321 0.764 0.604  0.00
Cd 0.179 0.396 0.236  0.00
Cd 0.679 0.236 0.396  0.00
Cd 0.821 0.604 0.764  0.00
Cu 0.250 0.208 0.792  0.10
Cu 0.750 0.792 0.208  0.10
Cl 0.182 0.965 0.800  0.00
Cl 0.318 0.200 0.035  0.00
Cl 0.818 0.035 0.200  0.00
Cl 0.682 0.800 0.965  0.00
Cl 0.460 0.856 0.363  0.00
Cl 0.040 0.637 0.144  0.00
Cl 0.540 0.144 0.637  0.00
Cl 0.960 0.363 0.856  0.00
Cl 0.036 0.698 0.559  0.00
Cl 0.464 0.441 0.302  0.00
Cl 0.964 0.302 0.441  0.00
Cl 0.536 0.559 0.698  0.00

Results
raw formation energy: -1.105 eV per atom
space-group type: C2/c